(1)
The following is a PBE calculation of an optimized crystal structure of Sr3TaIn, from Alexandria via LeMat-Bulk.

Calculated values
- E above lowest polymorph: 0.145 eV per atom
- Crystal system: cubic
- Magnetic moment: 4.0 μB/f.u.
- VASP energy: -14.317 eV per cell

Cell: 6.2036 6.2036 6.2036 Å, 90.00 90.00 90.00°
Fractional positions:
Sr (0.0000, 0.5000, 0.0000)
Sr (0.0000, 0.0000, 0.5000)
Sr (0.5000, 0.0000, 0.0000)
In (0.0000, 0.0000, 0.0000)
Ta (0.5000, 0.5000, 0.5000)

***

(2)
The following is a PBE calculation of an optimized crystal structure of SrTaIn, from Alexandria via LeMat-Bulk.

Calculated values
- E above lowest polymorph: 0.000 eV per atom
- Crystal system: tetragonal
- Magnetic moment: 0.0 μB/f.u.
- VASP energy: -14.973 eV per cell

Cell: 8.0392 8.0389 3.0958 Å, 78.90 78.89 22.20°
Fractional positions:
In (0.0125, 0.0125, 0.9875)
Sr (0.3338, 0.3338, 0.6662)
Ta (0.6537, 0.6537, 0.3463)

***

(3)
The following is a PBE calculation of an optimized crystal structure of Sr2TaIn, from Alexandria via LeMat-Bulk.

Calculated values
- Crystal system: tetragonal
- Magnetic moment: 0.4 μB/f.u.
- VASP energy: -15.880 eV per cell

Cell: 3.3159 3.3159 10.4975 Å, 90.00 90.00 89.99°
Fractional positions:
In (0.5000, 0.5000, 0.7500)
Sr (0.0000, 0.0000, 0.0043)
Sr (0.0000, 0.0000, 0.4957)
Ta (0.5000, 0.5000, 0.2500)